## A
First-principles (PBE) data for La3Sm2Tm4 after structural relaxation, as listed in Alexandria.

Values from the calculation:
Space-group type ... Cmmm (65)
DOS at the Fermi energy ... 12.62 states/eV/cell

Cell: 3.5102 9.9072 9.9163 Å, 119.97 90.05 90.00°
With the nearest neighbours (Å) after each atom.
Positions (direct):
La 0.5000 0.5000 0.0000  2 La 3.51, 8 Tm 3.74, 4 Sm 3.75
Tm 0.9992 0.5003 0.6672  4 Tm 3.30-3.51, 1 Sm 3.31, 2 La 3.67
Tm 0.9992 0.1669 0.6672  4 Tm 3.30-3.51, 1 Sm 3.31, 2 La 3.67
Sm 0.0000 0.8347 0.0000  3 Sm 3.28-3.51, 2 Tm 3.31
Sm 0.0000 0.1653 0.0000  3 Sm 3.28-3.51, 2 Tm 3.31
Tm 0.0008 0.4997 0.3328  4 Tm 3.30-3.51, 1 Sm 3.31, 2 La 3.67
Tm 0.0008 0.8331 0.3328  4 Tm 3.30-3.51, 1 Sm 3.31, 2 La 3.67
La 0.5001 0.8274 0.6547  2 La 3.51, 8 Tm 3.67-3.74, 4 Sm 3.81-3.82
La 0.4999 0.1726 0.3453  2 La 3.51, 8 Tm 3.67-3.74, 4 Sm 3.81-3.82

---

## B
First-principles (PBE) data for La3Sm2Tm4 after structural relaxation, as listed in Alexandria.

Values from the calculation:
Space-group type ... C2/c (15)
DOS at the Fermi energy ... 26.83 states/eV/cell

Cell: 6.1788 11.2759 11.2759 Å, 63.41 63.24 63.24°
With the nearest neighbours (Å) after each atom.
Positions (direct):
Tm 0.9282 0.1732 0.9395  3 Tm 3.33-3.49, 1 Sm 3.42, 5 La 3.46-3.63
La 0.2500 0.6228 0.3772  6 Sm 3.56-3.62, 4 Tm 3.63-3.74
Tm 0.0718 0.8268 0.0605  3 Tm 3.33-3.49, 1 Sm 3.42, 5 La 3.46-3.63
Tm 0.5718 0.0605 0.8268  3 Tm 3.33-3.49, 1 Sm 3.42, 5 La 3.46-3.63
La 0.2283 0.9802 0.6976  2 Sm 3.29-3.66, 8 Tm 3.41-3.63
Tm 0.5982 0.3883 0.1532  5 La 3.41-3.74, 3 Sm 3.47-3.76, 2 Tm 3.49-3.60
Sm 0.4375 0.2523 0.5182  5 La 3.29-3.66, 3 Tm 3.42-3.51
Tm 0.4018 0.6117 0.8468  5 La 3.41-3.74, 3 Sm 3.47-3.76, 2 Tm 3.49-3.60
Tm 0.4282 0.9395 0.1732  3 Tm 3.33-3.49, 1 Sm 3.42, 5 La 3.46-3.63
La 0.2717 0.3024 0.0198  2 Sm 3.29-3.66, 8 Tm 3.41-3.63
Tm 0.0982 0.1532 0.3883  5 La 3.41-3.74, 3 Sm 3.47-3.76, 2 Tm 3.49-3.60
Sm 0.5625 0.7477 0.4818  5 La 3.29-3.66, 3 Tm 3.42-3.51
Sm 0.9375 0.5182 0.2523  5 La 3.29-3.66, 3 Tm 3.42-3.51
La 0.7500 0.3772 0.6228  6 Sm 3.56-3.62, 4 Tm 3.63-3.74
La 0.7717 0.0198 0.3024  2 Sm 3.29-3.66, 8 Tm 3.41-3.63
Tm 0.9018 0.8468 0.6117  5 La 3.41-3.74, 3 Sm 3.47-3.76, 2 Tm 3.49-3.60
La 0.7283 0.6976 0.9802  2 Sm 3.29-3.66, 8 Tm 3.41-3.63
Sm 0.0625 0.4818 0.7477  5 La 3.29-3.66, 3 Tm 3.42-3.51

---

Which one is most stable, and which one is least stable? A is the most stable of them, while B is the least stable.

---

## A
First-principles (PBE) data for La4Sm3Tm4 after structural relaxation, as listed in Alexandria.

Values from the calculation:
Space-group type ... P-1 (2)
DOS at the Fermi energy ... 16.19 states/eV/cell

Cell: 3.6419 5.0922 20.1334 Å, 97.25 95.17 90.02°
With the nearest neighbours (Å) after each atom.
Positions (direct):
Sm 0.0000 0.0000 0.0000  8 La 3.63, 2 Sm 3.64, 2 Tm 3.68
La 0.4536 0.4542 0.9076  5 Sm 3.60-3.63, 4 Tm 3.63, 3 La 3.64-3.67
La 0.1827 0.1827 0.3662  6 Tm 3.52-3.62, 4 Sm 3.64, 2 La 3.64
Tm 0.2716 0.2717 0.5430  5 La 3.52-3.62, 6 Tm 3.56-3.64, 1 Sm 3.66
La 0.8172 0.8173 0.6338  6 Tm 3.52-3.62, 4 Sm 3.64, 2 La 3.64
Sm 0.6364 0.6362 0.2732  5 Tm 3.59-3.66, 5 La 3.60-3.64, 2 Sm 3.64
La 0.5464 0.5458 0.0924  5 Sm 3.60-3.63, 4 Tm 3.63, 3 La 3.64-3.67
Tm 0.7283 0.7284 0.4570  5 La 3.52-3.62, 6 Tm 3.56-3.64, 1 Sm 3.66
Tm 0.9074 0.9079 0.8149  5 Sm 3.59-3.68, 5 La 3.60-3.63, 2 Tm 3.64
Tm 0.0926 0.0921 0.1851  5 Sm 3.59-3.68, 5 La 3.60-3.63, 2 Tm 3.64
Sm 0.3636 0.3639 0.7268  5 Tm 3.59-3.66, 5 La 3.60-3.64, 2 Sm 3.64

---

## B
First-principles (PBE) data for La4Sm3Tm4 after structural relaxation, as listed in Alexandria.

Values from the calculation:
Space-group type ... Amm2 (38)
DOS at the Fermi energy ... 16.90 states/eV/cell

Cell: 5.7635 6.6750 10.7875 Å, 90.00 90.00 115.58°
With the nearest neighbours (Å) after each atom.
Positions (direct):
Tm 0.1063 0.2126 0.6922  4 La 3.47-3.77, 2 Tm 3.55, 4 Sm 3.70-3.75
La 0.7598 0.5196 0.7919  2 La 3.27-3.44, 3 Tm 3.35-3.59, 4 Sm 3.53-3.65
Tm 0.6025 0.2050 0.5000  2 Sm 3.23, 1 La 3.29, 4 Tm 3.55
Sm 0.4133 0.8266 0.2874  2 Tm 3.23-3.53, 2 La 3.53
Tm 0.5538 0.1077 0.0000  4 La 3.11-3.35
La 0.9574 0.9148 0.0000  2 Tm 3.11, 2 La 3.27
Sm 0.4133 0.8266 0.7126  2 Tm 3.23-3.53, 2 La 3.53
La 0.7598 0.5196 0.2081  2 La 3.27-3.44, 3 Tm 3.35-3.59, 4 Sm 3.53-3.65
Sm 0.2505 0.5009 0.0000  7 La 3.53-3.81, 5 Tm 3.65-3.75, 2 Sm 3.67
La 0.8755 0.7511 0.5000  3 Tm 3.29-3.47, 2 La 3.44
Tm 0.1063 0.2126 0.3078  4 La 3.47-3.77, 2 Tm 3.55, 4 Sm 3.70-3.75

---

Which one is most stable, and which one is least stable? A is the most stable of them, while B is the least stable.

---

## A
First-principles (PBE) data for La4Sm3Tm2 after structural relaxation, as listed in Alexandria.

Values from the calculation:
Space-group type ... C2/m (12)
DOS at the Fermi energy ... 14.68 states/eV/cell

Cell: 3.7119 6.7688 14.7390 Å, 64.29 90.00 105.91°
With the nearest neighbours (Å) after each atom.
Positions (direct):
Sm 0.6187 0.2374 0.3850  3 Sm 3.40-3.71, 2 Tm 3.42, 6 La 3.49-3.72
Tm 0.3404 0.6808 0.2096  4 Sm 3.39-3.42, 5 La 3.57-3.70, 2 Tm 3.71
La 0.8873 0.7745 0.3942  5 Sm 3.49-3.72, 2 Tm 3.57, 2 La 3.71
La 0.3492 0.6985 0.8721  3 Sm 3.62-3.77, 3 Tm 3.66-3.70, 4 La 3.71-3.94
La 0.1127 0.2255 0.6058  5 Sm 3.49-3.72, 2 Tm 3.57, 2 La 3.71
Sm 0.0000 0.0000 0.0000  4 Tm 3.39, 2 Sm 3.71, 4 La 3.77
Sm 0.3813 0.7626 0.6150  3 Sm 3.40-3.71, 2 Tm 3.42, 6 La 3.49-3.72
Tm 0.6596 0.3192 0.7904  4 Sm 3.39-3.42, 5 La 3.57-3.70, 2 Tm 3.71
La 0.6508 0.3015 0.1279  3 Sm 3.62-3.77, 3 Tm 3.66-3.70, 4 La 3.71-3.94

---

## B
First-principles (PBE) data for La4Sm3Tm2 after structural relaxation, as listed in Alexandria.

Values from the calculation:
Space-group type ... C2/m (12)
DOS at the Fermi energy ... 12.20 states/eV/cell

Cell: 3.6048 9.9551 8.9610 Å, 99.70 101.60 90.00°
With the nearest neighbours (Å) after each atom.
Positions (direct):
La 0.8271 0.7633 0.6542  3 Tm 3.44-3.64, 4 Sm 3.51-3.60, 4 La 3.60-3.63
Sm 0.1613 0.5914 0.3225  7 La 3.57-3.86, 2 Sm 3.60, 2 Tm 3.70
Tm 0.3335 0.0822 0.6670  4 La 3.44-3.64, 4 Tm 3.59-3.60, 4 Sm 3.64-3.70
La 0.4906 0.6742 0.9812  5 La 3.54-3.63, 1 Tm 3.58, 6 Sm 3.69-3.86
Sm 0.8387 0.4086 0.6775  7 La 3.57-3.86, 2 Sm 3.60, 2 Tm 3.70
La 0.1729 0.2367 0.3458  3 Tm 3.44-3.64, 4 Sm 3.51-3.60, 4 La 3.60-3.63
Sm 0.0000 0.0000 0.0000  6 La 3.51-3.69, 2 Sm 3.60, 4 Tm 3.64
Tm 0.6665 0.9178 0.3330  4 La 3.44-3.64, 4 Tm 3.59-3.60, 4 Sm 3.64-3.70
La 0.5094 0.3258 0.0188  5 La 3.54-3.63, 1 Tm 3.58, 6 Sm 3.69-3.86

---

Which one is most stable, and which one is least stable? B is the most stable of them, while A is the least stable.

---

## A
First-principles (PBE) data for LaSm4Tm7 after structural relaxation, as listed in Alexandria.

Values from the calculation:
Space-group type ... C2/m (12)
DOS at the Fermi energy ... 19.57 states/eV/cell

Cell: 5.8674 11.5525 6.7391 Å, 83.05 64.19 75.29°
With the nearest neighbours (Å) after each atom.
Positions (direct):
Sm 0.2379 0.3246 0.1997  5 Tm 3.26-3.64
La 0.0000 0.0000 0.0000  4 Tm 2.93-3.14
Sm 0.3678 0.7761 0.4883  7 Tm 3.36-3.61, 2 Sm 3.66
Tm 0.6339 0.4998 0.2325  4 Tm 3.25-3.53, 5 Sm 3.26-3.53
Tm 0.2109 0.0769 0.5013  1 La 3.14, 4 Tm 3.17-3.40, 4 Sm 3.30-3.36
Tm 0.0632 0.6740 0.1996  4 Tm 3.28-3.53, 3 Sm 3.61-3.64
Tm 0.5000 0.0000 0.0000  2 La 2.93, 2 Tm 3.17
Sm 0.6322 0.2239 0.5117  7 Tm 3.36-3.61, 2 Sm 3.66
Sm 0.7621 0.6754 0.8003  5 Tm 3.26-3.64
Tm 0.9368 0.3260 0.8004  4 Tm 3.28-3.53, 3 Sm 3.61-3.64
Tm 0.7891 0.9231 0.4987  1 La 3.14, 4 Tm 3.17-3.40, 4 Sm 3.30-3.36
Tm 0.3661 0.5002 0.7675  4 Tm 3.25-3.53, 5 Sm 3.26-3.53

---

## B
First-principles (PBE) data for LaSm4Tm7 after structural relaxation, as listed in Alexandria.

Values from the calculation:
Space-group type ... P-1 (2)
DOS at the Fermi energy ... 16.88 states/eV/cell

Cell: 7.1728 6.2280 11.3710 Å, 79.52 50.95 90.04°
With the nearest neighbours (Å) after each atom.
Positions (direct):
Tm 0.2487 0.5008 0.0007  3 Sm 3.53-3.56, 7 Tm 3.53-3.60, 2 La 3.59-3.60
Sm 0.1681 0.2220 0.3324  4 Sm 3.52-3.59, 8 Tm 3.53-3.60
Sm 0.5862 0.2794 0.6638  8 Tm 3.50-3.60, 3 Sm 3.52-3.59, 1 La 3.56
Sm 0.8319 0.7780 0.6676  4 Sm 3.52-3.59, 8 Tm 3.53-3.60
Tm 0.7513 0.4992 0.9993  3 Sm 3.53-3.56, 7 Tm 3.53-3.60, 2 La 3.59-3.60
Tm 0.5000 0.0000 0.0000  4 Sm 3.53-3.55, 6 Tm 3.54-3.60, 2 La 3.59
La 0.0000 0.0000 0.0000  10 Tm 3.54-3.60, 2 Sm 3.56
Tm 0.6658 0.2222 0.3347  5 Sm 3.50-3.60, 6 Tm 3.52-3.59, 1 La 3.55
Tm 0.3342 0.7778 0.6653  5 Sm 3.50-3.60, 6 Tm 3.52-3.59, 1 La 3.55
Tm 0.0849 0.2782 0.6658  6 Sm 3.51-3.60, 5 Tm 3.52-3.59, 1 La 3.54
Tm 0.9151 0.7218 0.3342  6 Sm 3.51-3.60, 5 Tm 3.52-3.59, 1 La 3.54
Sm 0.4138 0.7206 0.3362  8 Tm 3.50-3.60, 3 Sm 3.52-3.59, 1 La 3.56

---

Which one is most stable, and which one is least stable? B is the most stable of them, while A is the least stable.